#w
Entry from OQMD: an optimized crystal structure of Tc3Ni (PBE-GGA).

```
data_Tc3Ni
_symmetry_space_group_name_H-M 'P 1'
_symmetry_Int_Tables_number 1
_cell_length_a 5.3739
_cell_length_b 5.3739
_cell_length_c 4.3220
_cell_angle_alpha 90.00
_cell_angle_beta 90.00
_cell_angle_gamma 120.00
loop_
_symmetry_equiv_pos_as_xyz
'x,y,z'
loop_
_atom_site_label
_atom_site_fract_x
_atom_site_fract_y
_atom_site_fract_z
_atom_site_occupancy
Tc1 0.1662 0.3324 0.2500 1
Tc2 0.1662 0.8338 0.2500 1
Tc3 0.3324 0.1662 0.7500 1
Tc4 0.6676 0.8338 0.2500 1
Tc5 0.8338 0.1662 0.7500 1
Tc6 0.8338 0.6676 0.7500 1
Ni1 0.3333 0.6667 0.7500 1
Ni2 0.6667 0.3333 0.2500 1
```

Results
volume: 13.512 Å³ per atom
magnetic moment: 0.00 Bohr magnetons per cell

#x
Entry from OQMD: an optimized crystal structure of Tc3Ni (PBE-GGA).

```
data_Tc3Ni
_symmetry_space_group_name_H-M 'P 1'
_symmetry_Int_Tables_number 1
_cell_length_a 7.2109
_cell_length_b 7.2109
_cell_length_c 7.2109
_cell_angle_alpha 43.65
_cell_angle_beta 43.65
_cell_angle_gamma 43.65
loop_
_symmetry_equiv_pos_as_xyz
'x,y,z'
loop_
_atom_site_label
_atom_site_fract_x
_atom_site_fract_y
_atom_site_fract_z
_atom_site_occupancy
Tc1 0.0000 0.5000 0.5000 1
Tc2 0.2181 0.7222 0.7222 1
Tc3 0.2778 0.2778 0.7819 1
Tc4 0.2778 0.7819 0.2778 1
Tc5 0.5000 0.0000 0.5000 1
Tc6 0.5000 0.5000 0.0000 1
Tc7 0.7222 0.2181 0.7222 1
Tc8 0.7222 0.7222 0.2181 1
Tc9 0.7819 0.2778 0.2778 1
Ni1 0.0000 0.0000 0.0000 1
Ni2 0.2232 0.2232 0.2232 1
Ni3 0.7768 0.7768 0.7768 1
```

Results
volume: 13.509 Å³ per atom
magnetic moment: 0.00 Bohr magnetons per cell

Computed energies relative to the best structure, in kJ/mol of atoms: #w 0.0; #x 3.2

#w
Entry from OQMD: an optimized crystal structure of Ni7Te (PBE-GGA).

```
data_Ni7Te
_symmetry_space_group_name_H-M 'P 1'
_symmetry_Int_Tables_number 1
_cell_length_a 2.7380
_cell_length_b 3.3818
_cell_length_c 33.2506
_cell_angle_alpha 90.00
_cell_angle_beta 90.00
_cell_angle_gamma 90.00
loop_
_symmetry_equiv_pos_as_xyz
'x,y,z'
loop_
_atom_site_label
_atom_site_fract_x
_atom_site_fract_y
_atom_site_fract_z
_atom_site_occupancy
Ni1 0.0000 0.0000 0.0000 1
Ni2 0.0000 0.0000 0.0724 1
Ni3 0.0000 0.0000 0.1463 1
Ni4 0.0000 0.0000 0.2194 1
Ni5 0.0000 0.0000 0.2926 1
Ni6 0.0000 0.0000 0.3657 1
Ni7 0.0000 0.0000 0.4410 1
Ni8 0.5000 0.5000 0.0360 1
Ni9 0.5000 0.5000 0.1102 1
Ni10 0.5000 0.5000 0.1827 1
Ni11 0.5000 0.5000 0.2560 1
Ni12 0.5000 0.5000 0.3295 1
Ni13 0.5000 0.5000 0.4023 1
Ni14 0.5000 0.5000 0.9611 1
Te1 0.0000 0.0000 0.9181 1
Te2 0.5000 0.5000 0.4842 1
```

Results
volume: 19.243 Å³ per atom
magnetic moment: 4.27 Bohr magnetons per cell

#x
Entry from OQMD: an optimized crystal structure of Ni7Te (PBE-GGA).

```
data_Ni7Te
_symmetry_space_group_name_H-M 'P 1'
_symmetry_Int_Tables_number 1
_cell_length_a 2.7915
_cell_length_b 2.7915
_cell_length_c 33.5670
_cell_angle_alpha 90.00
_cell_angle_beta 90.00
_cell_angle_gamma 90.00
loop_
_symmetry_equiv_pos_as_xyz
'x,y,z'
loop_
_atom_site_label
_atom_site_fract_x
_atom_site_fract_y
_atom_site_fract_z
_atom_site_occupancy
Ni1 0.2500 0.2500 0.0210 1
Ni2 0.2500 0.2500 0.1047 1
Ni3 0.2500 0.2500 0.1884 1
Ni4 0.2500 0.2500 0.2750 1
Ni5 0.2500 0.2500 0.7705 1
Ni6 0.2500 0.2500 0.8536 1
Ni7 0.2500 0.2500 0.9370 1
Ni8 0.7500 0.7500 0.0630 1
Ni9 0.7500 0.7500 0.1464 1
Ni10 0.7500 0.7500 0.2295 1
Ni11 0.7500 0.7500 0.7250 1
Ni12 0.7500 0.7500 0.8116 1
Ni13 0.7500 0.7500 0.8953 1
Ni14 0.7500 0.7500 0.9790 1
Te1 0.2500 0.2500 0.6694 1
Te2 0.7500 0.7500 0.3306 1
```

Results
volume: 16.348 Å³ per atom
magnetic moment: 2.11 Bohr magnetons per cell

Computed energies relative to the best structure, in kJ/mol of atoms: #w 0.0; #x 9.0